No. 1
This record from the Alexandria database describes a relaxed structure of Tb4Y2Th3. The functional is PBE-GGA.

a = 3.5683 Å, b = 3.5683 Å, c = 26.5409 Å
α = 90.00°, β = 90.00°, γ = 120.00°
Closest atoms and distances in Å follow each position.
Space group P3m1 (No. 156)
Symmetry-distinct sites (fractional):
Tb (0.0000, 0.0000, 0.0000) (multiplicity 1)  1 Y 3.34, 3 Th 3.50, 6 Tb 3.57
Tb (0.0000, 0.0000, 0.2180) (multiplicity 1)  9 Tb 3.55-3.57, 3 Th 3.60
Tb (0.3333, 0.6667, 0.3269) (multiplicity 1)  9 Tb 3.55-3.57, 3 Th 3.57
Tb (0.3333, 0.6667, 0.5466) (multiplicity 1)  3 Y 3.55, 6 Tb 3.57, 3 Th 3.57
Y (0.0000, 0.0000, 0.6554) (multiplicity 1)  3 Tb 3.55, 6 Y 3.57, 3 Th 3.61
Y (0.0000, 0.0000, 0.8743) (multiplicity 1)  1 Tb 3.34, 3 Th 3.51, 6 Y 3.57
Th (0.0000, 0.0000, 0.4367) (multiplicity 1)  6 Th 3.57, 6 Tb 3.57
Th (0.3333, 0.6667, 0.1068) (multiplicity 1)  6 Tb 3.50-3.60, 6 Th 3.57
Th (0.3333, 0.6667, 0.7671) (multiplicity 1)  6 Y 3.51-3.61, 6 Th 3.57

Values from the calculation:
* DFT total energy: -53.0 eV/cell
* theoretical density: 8566 kg/m3

---

No. 2
This record from the Alexandria database describes a relaxed structure of TbY6Th2. The functional is PBE-GGA.

a = 13.4369 Å, b = 11.8247 Å, c = 9.0704 Å
α = 90.00°, β = 125.05°, γ = 90.00°
Closest atoms and distances in Å follow each position.
Space group C2/c (No. 15)
Symmetry-distinct sites (fractional):
Tb (0.0000, 0.0787, 0.2500) (multiplicity 4)  8 Y 3.47-3.64, 2 Th 3.57
Y (0.0805, 0.3981, 0.9772) (multiplicity 8)  2 Th 3.33-3.45, 5 Y 3.38-3.56
Y (0.1107, 0.1723, 0.6873) (multiplicity 8)  7 Y 3.38-3.75, 2 Tb 3.51-3.52, 2 Th 3.59-3.69
Y (0.2066, 0.0983, 0.1376) (multiplicity 8)  5 Y 3.38-3.63, 2 Tb 3.47-3.64, 2 Th 3.61-3.63
Th (0.1560, 0.3436, 0.3897) (multiplicity 8)  2 Th 3.08-3.43, 1 Y 3.33

Values from the calculation:
* energy relative to the lowest polymorph listed for this composition: 28 meV per atom
* theoretical density: 6511 kg/m3